# 1
Compound: NaZr3N4
Source: the Alexandria database
Functional: PBE
Structure: relaxed

The space group is Cmmm (No. 65) and the conventional cell measures 6.611, 9.174 and 3.272 Å, with angles of 90.00, 90.00 and 90.00 degrees. The asymmetric unit holds Na at (0.000, 0.000, 0.000), Zr at (0.000, 0.500, 0.000), Zr at (0.250, 0.250, 0.500), N at (0.000, 0.256, 0.000) and N at (0.228, 0.500, 0.500).

The raw formation energy is -1.38 eV per atom. The total DFT energy (no corrections) comes out at -0.65507 Ry per atom. The calculation puts the density of states at the Fermi level at 0.2488 states/eV per atom. Its volume is 12.41 Å³/atom.

# 2
Compound: Nb4N3
Source: the Alexandria database
Functional: PBE
Structure: relaxed

The space group is I4/mmm (No. 139) and the conventional cell measures 4.426, 4.426 and 8.716 Å, with angles of 90.00, 90.00 and 90.00 degrees. The asymmetric unit holds Nb at (0.000, 0.000, 0.245), Nb at (0.000, 0.500, 0.000), N at (0.000, 0.000, 0.500) and N at (0.000, 0.500, 0.250).

The raw formation energy is -0.94 eV per atom. The value obtained for the offset from the most stable computed form is 0.00 eV per formula unit. The total DFT energy (no corrections) comes out at -0.75391 Ry per atom. The calculation puts the density of states at the Fermi level at 0.5422 states/eV per atom. Its volume is 12.20 Å³/atom.

# 3
Compound: NbN
Source: the Alexandria database
Functional: PBE
Structure: relaxed

The space group is P6_3/mmc (No. 194) and the conventional cell measures 3.0058, 3.0058 and 11.3513 Å, with angles of 90.00, 90.00 and 120.00 degrees. The asymmetric unit holds Nb at (0.3333, 0.6667, 0.1222), N at (0.0000, 0.0000, 0.0000) and N at (0.3333, 0.6667, 0.7500).

The raw formation energy is -0.89 eV per atom. The total DFT energy (no corrections) comes out at -0.74157 Ry per atom. The calculation puts the density of states at the Fermi level at 0.3307 states/eV per atom. Its volume is 11.10 Å³/atom.

# 4
Compound: Nb3N
Source: the Alexandria database
Functional: PBE
Structure: relaxed

The space group is Pmm2 (No. 25) and the conventional cell measures 2.843, 2.850 and 7.645 Å, with angles of 90.00, 90.00 and 90.00 degrees. The asymmetric unit holds Nb at (0.000, 0.000, 0.000), Nb at (0.000, 0.500, 0.349), Nb at (0.500, 0.500, 0.699) and N at (0.500, 0.000, 0.472).

The raw formation energy is -0.23 eV per atom. The value obtained for the offset from the most stable computed form is 1.49 eV per formula unit. The total DFT energy (no corrections) comes out at -0.72477 Ry per atom. The calculation puts the density of states at the Fermi level at 0.8980 states/eV per atom. Its volume is 15.49 Å³/atom.

# 5
Compound: NbN
Source: the Alexandria database
Functional: PBE
Structure: relaxed

The space group is P6_3/mmc (No. 194) and the conventional cell measures 3.0024, 3.0024 and 5.6001 Å, with angles of 90.00, 90.00 and 120.00 degrees. The asymmetric unit holds Nb at (0.3333, 0.6667, 0.2500) and N at (0.0000, 0.0000, 0.0000).

The raw formation energy is -1.05 eV per atom. The total DFT energy (no corrections) comes out at -0.75309 Ry per atom. The calculation puts the density of states at the Fermi level at 0.1970 states/eV per atom. Its volume is 10.93 Å³/atom.

# 6
Compound: Nb8N5
Source: the Alexandria database
Functional: PBE
Structure: relaxed

The space group is Cmmm (No. 65) and the conventional cell measures 6.143, 8.818 and 6.231 Å, with angles of 90.00, 90.00 and 90.00 degrees. The asymmetric unit holds Nb at (0.000, 0.248, 0.000), Nb at (0.000, 0.250, 0.500), Nb at (0.245, 0.500, 0.250), N at (0.000, 0.000, 0.500) and N at (0.250, 0.250, 0.248).

The raw formation energy is -0.85 eV per atom. The value obtained for the offset from the most stable computed form is 0.00 eV per formula unit. The total DFT energy (no corrections) comes out at -0.75354 Ry per atom. The calculation puts the density of states at the Fermi level at 0.5730 states/eV per atom. Its volume is 12.98 Å³/atom.